A relaxed structure of MgZr2MoOs. Source: Alexandria, functional PBE-GGA.

The structure in CIF format:
```
data_MgZr2MoOs
_cell_length_a 4.903
_cell_length_b 4.903
_cell_length_c 4.405
_cell_angle_alpha 90.00
_cell_angle_beta 90.00
_cell_angle_gamma 90.00
_symmetry_space_group_name_H-M 'P 4/m m m'
_symmetry_Int_Tables_number 123
_symmetry_space_group_name_Hall '-P 4 2'
loop_
_atom_site_label
_atom_site_fract_x
_atom_site_fract_y
_atom_site_fract_z
Mg1 0.000 0.000 0.000
Zr1 0.000 0.500 0.000
Mo1 0.000 0.000 0.500
Os1 0.500 0.500 0.500
```

Electronic total energy ... -31.8 eV for the cell shown
E_form ... 8.9 eV/f.u.
Mass density ... 7.73 Mg/m³

***

A relaxed structure of BaAs2Rh. Source: Alexandria, functional PBE-GGA.

The structure in CIF format:
```
data_BaAs2Rh
_cell_length_a 4.424
_cell_length_b 4.424
_cell_length_c 4.694
_cell_angle_alpha 90.00
_cell_angle_beta 90.00
_cell_angle_gamma 90.00
_symmetry_space_group_name_H-M 'P 4/m m m'
_symmetry_Int_Tables_number 123
_symmetry_space_group_name_Hall '-P 4 2'
loop_
_atom_site_label
_atom_site_fract_x
_atom_site_fract_y
_atom_site_fract_z
Ba1 0.000 0.000 0.000
As1 0.000 0.500 0.500
Rh1 0.500 0.500 0.000
```

Electronic total energy ... -18.4 eV for the cell shown
E_form ... 0.2 eV/f.u.
Mass density ... 7.05 Mg/m³

***

A relaxed structure of Ba2IrOsO. Source: Alexandria, functional PBE-GGA.

The structure in CIF format:
```
data_Ba2IrOsO
_cell_length_a 6.060
_cell_length_b 6.060
_cell_length_c 4.622
_cell_angle_alpha 90.00
_cell_angle_beta 90.00
_cell_angle_gamma 90.00
_symmetry_space_group_name_H-M 'P 4/m m m'
_symmetry_Int_Tables_number 123
_symmetry_space_group_name_Hall '-P 4 2'
loop_
_atom_site_label
_atom_site_fract_x
_atom_site_fract_y
_atom_site_fract_z
Ba1 0.000 0.500 0.000
Ir1 0.000 0.000 0.000
Os1 0.000 0.000 0.500
O1 0.500 0.500 0.500
```

Electronic total energy ... -26.9 eV for the cell shown
Mass density ... 6.58 Mg/m³
Energy relative to the elements, uncorrected ... 0.403 eV per atom

***

A relaxed structure of Sm7Ru2Pb2. Source: Alexandria, functional PBE-GGA.

The structure in CIF format:
```
data_Sm7Ru2Pb2
_cell_length_a 8.349
_cell_length_b 11.134
_cell_length_c 7.317
_cell_angle_alpha 90.00
_cell_angle_beta 90.00
_cell_angle_gamma 90.00
_symmetry_space_group_name_H-M 'C m m m'
_symmetry_Int_Tables_number 65
_symmetry_space_group_name_Hall '-C 2 2'
loop_
_atom_site_label
_atom_site_fract_x
_atom_site_fract_y
_atom_site_fract_z
Sm1 0.000 0.000 0.000
Sm2 0.000 0.500 0.230
Sm3 0.250 0.250 0.245
Ru1 0.000 0.288 0.000
Pb1 0.186 0.000 0.500
```

Electronic total energy ... -123.4 eV for the cell shown
E_form ... -2.7 eV/f.u.
Mass density ... 8.15 Mg/m³

***

What did the first record say?
A relaxed structure of MgZr2MoOs. Source: Alexandria, functional PBE-GGA.

The structure in CIF format:
```
data_MgZr2MoOs
_cell_length_a 4.903
_cell_length_b 4.903
_cell_length_c 4.405
_cell_angle_alpha 90.00
_cell_angle_beta 90.00
_cell_angle_gamma 90.00
_symmetry_space_group_name_H-M 'P 4/m m m'
_symmetry_Int_Tables_number 123
_symmetry_space_group_name_Hall '-P 4 2'
loop_
_atom_site_label
_atom_site_fract_x
_atom_site_fract_y
_atom_site_fract_z
Mg1 0.000 0.000 0.000
Zr1 0.000 0.500 0.000
Mo1 0.000 0.000 0.500
Os1 0.500 0.500 0.500
```

Electronic total energy ... -31.8 eV for the cell shown
E_form ... 8.9 eV/f.u.
Mass density ... 7.73 Mg/m³

***

> electronic total energy of number 4 (Sm7Ru2Pb2)?

-123.4 eV for the cell shown

***

> The lowest mass density belongs to which entry?

Ba2IrOsO

***

> What is the mass density in the third record?

6.58 Mg/m³